*w*
Material: NaZrGa2
Method: DFT, PBE
State: optimized geometry

Cell and atoms, written as CIF:
```
data_NaZrGa2
_symmetry_space_group_name_H-M 'P 1'
_symmetry_Int_Tables_number 1
_cell_length_a 4.8157
_cell_length_b 4.8157
_cell_length_c 4.8157
_cell_angle_alpha 60.00
_cell_angle_beta 60.00
_cell_angle_gamma 60.00
loop_
_symmetry_equiv_pos_as_xyz
'x,y,z'
loop_
_atom_site_label
_atom_site_fract_x
_atom_site_fract_y
_atom_site_fract_z
Na1 0.0000 0.0000 0.0000
Ga1 0.2500 0.2500 0.2500
Ga2 0.7500 0.7500 0.7500
Zr1 0.5000 0.5000 0.5000
```

***

*x*
Material: NaZrGa2
Method: DFT, PBE
State: optimized geometry

Cell and atoms, written as CIF:
```
data_NaZrGa2
_symmetry_space_group_name_H-M 'P 1'
_symmetry_Int_Tables_number 1
_cell_length_a 7.4451
_cell_length_b 7.4451
_cell_length_c 6.1196
_cell_angle_alpha 52.53
_cell_angle_beta 52.53
_cell_angle_gamma 90.00
loop_
_symmetry_equiv_pos_as_xyz
'x,y,z'
loop_
_atom_site_label
_atom_site_fract_x
_atom_site_fract_y
_atom_site_fract_z
Na1 0.5000 0.5000 0.0000
Na2 0.2500 0.7500 0.5000
Ga1 0.6238 0.1250 0.2500
Ga2 0.1262 0.6250 0.2500
Ga3 0.3750 0.3762 0.7500
Ga4 0.8750 0.8738 0.7500
Zr1 0.0000 0.0000 0.0000
Zr2 0.7500 0.2500 0.5000
```

***

*y*
Material: NaZrGa2
Method: DFT, PBE
State: optimized geometry

Cell and atoms, written as CIF:
```
data_NaZrGa2
_symmetry_space_group_name_H-M 'P 1'
_symmetry_Int_Tables_number 1
_cell_length_a 3.0419
_cell_length_b 5.1112
_cell_length_c 5.1112
_cell_angle_alpha 90.00
_cell_angle_beta 90.00
_cell_angle_gamma 90.00
loop_
_symmetry_equiv_pos_as_xyz
'x,y,z'
loop_
_atom_site_label
_atom_site_fract_x
_atom_site_fract_y
_atom_site_fract_z
Na1 0.5000 0.5000 0.5000
Ga1 0.0000 0.0000 0.5000
Ga2 0.0000 0.5000 0.0000
Zr1 0.5000 0.0000 0.0000
```

***

Stability summary: most stable *y*, least stable *x*.

***

*w*
Material: Nb5Ga4
Method: DFT, PBE
State: optimized geometry

Cell and atoms, written as CIF:
```
data_Nb5Ga4
_symmetry_space_group_name_H-M 'P 1'
_symmetry_Int_Tables_number 1
_cell_length_a 4.5895
_cell_length_b 6.2655
_cell_length_c 6.2655
_cell_angle_alpha 82.30
_cell_angle_beta 68.53
_cell_angle_gamma 68.53
loop_
_symmetry_equiv_pos_as_xyz
'x,y,z'
loop_
_atom_site_label
_atom_site_fract_x
_atom_site_fract_y
_atom_site_fract_z
Nb1 0.5000 0.0000 0.0000
Nb2 0.1711 0.6576 0.0000
Nb3 0.1711 0.0000 0.6576
Nb4 0.8289 0.0000 0.3424
Nb5 0.8289 0.3424 0.0000
Ga1 0.1706 0.3293 0.3293
Ga2 0.5000 0.6707 0.3293
Ga3 0.5000 0.3293 0.6707
Ga4 0.8294 0.6707 0.6707
```

***

*x*
Material: Nb5Ga4
Method: DFT, PBE
State: optimized geometry

Cell and atoms, written as CIF:
```
data_Nb5Ga4
_symmetry_space_group_name_H-M 'P 1'
_symmetry_Int_Tables_number 1
_cell_length_a 7.9985
_cell_length_b 7.9985
_cell_length_c 5.4868
_cell_angle_alpha 90.00
_cell_angle_beta 90.00
_cell_angle_gamma 120.00
loop_
_symmetry_equiv_pos_as_xyz
'x,y,z'
loop_
_atom_site_label
_atom_site_fract_x
_atom_site_fract_y
_atom_site_fract_z
Nb1 0.6667 0.3333 0.0000
Nb2 0.3333 0.6667 0.0000
Nb3 0.3333 0.6667 0.5000
Nb4 0.6667 0.3333 0.5000
Nb5 0.7200 0.7200 0.7500
Nb6 0.2800 0.0000 0.7500
Nb7 0.0000 0.2800 0.7500
Nb8 0.2800 0.2800 0.2500
Nb9 0.7200 0.0000 0.2500
Nb10 0.0000 0.7200 0.2500
Ga1 0.0000 0.0000 0.0000
Ga2 0.0000 0.0000 0.5000
Ga3 0.3842 0.3842 0.7500
Ga4 0.6158 0.0000 0.7500
Ga5 0.0000 0.6158 0.7500
Ga6 0.6158 0.6158 0.2500
Ga7 0.3842 0.0000 0.2500
Ga8 0.0000 0.3842 0.2500
```

***

Stability summary: most stable *x*, least stable *w*.

***

*w*
Material: NbGa2Ni8
Method: DFT, PBE
State: optimized geometry

Cell and atoms, written as CIF:
```
data_NbGa2Ni8
_symmetry_space_group_name_H-M 'P 1'
_symmetry_Int_Tables_number 1
_cell_length_a 3.8002
_cell_length_b 6.1959
_cell_length_c 6.1959
_cell_angle_alpha 106.54
_cell_angle_beta 90.05
_cell_angle_gamma 90.05
loop_
_symmetry_equiv_pos_as_xyz
'x,y,z'
loop_
_atom_site_label
_atom_site_fract_x
_atom_site_fract_y
_atom_site_fract_z
Nb1 0.5000 0.0000 0.0000
Ga1 0.0000 0.6270 0.3730
Ga2 0.0000 0.3730 0.6270
Ni1 0.9992 0.9613 0.6951
Ni2 0.9992 0.6951 0.9613
Ni3 0.4992 0.6649 0.6649
Ni4 0.5000 0.2474 0.7526
Ni5 0.5000 0.7526 0.2474
Ni6 0.5008 0.3351 0.3351
Ni7 0.0008 0.3049 0.0387
Ni8 0.0008 0.0387 0.3049
```

***

*x*
Material: NbGa2Ni8
Method: DFT, PBE
State: optimized geometry

Cell and atoms, written as CIF:
```
data_NbGa2Ni8
_symmetry_space_group_name_H-M 'P 1'
_symmetry_Int_Tables_number 1
_cell_length_a 4.2599
_cell_length_b 6.5700
_cell_length_c 6.5048
_cell_angle_alpha 59.67
_cell_angle_beta 76.16
_cell_angle_gamma 61.72
loop_
_symmetry_equiv_pos_as_xyz
'x,y,z'
loop_
_atom_site_label
_atom_site_fract_x
_atom_site_fract_y
_atom_site_fract_z
Nb1 0.5000 0.0000 0.0000
Ga1 0.0000 0.3085 0.3830
Ga2 0.0000 0.6915 0.6170
Ni1 0.8621 0.0944 0.2253
Ni2 0.8621 0.3197 0.7747
Ni3 0.3089 0.4174 0.0000
Ni4 0.5000 0.7814 0.4373
Ni5 0.5000 0.2186 0.5627
Ni6 0.6911 0.5826 0.0000
Ni7 0.1379 0.6803 0.2253
Ni8 0.1379 0.9056 0.7747
```

***

Stability summary: most stable *x*, least stable *w*.

***

*w*
Material: NbGa2Ni2
Method: DFT, PBE
State: optimized geometry

Cell and atoms, written as CIF:
```
data_NbGa2Ni2
_symmetry_space_group_name_H-M 'P 1'
_symmetry_Int_Tables_number 1
_cell_length_a 7.1648
_cell_length_b 7.1648
_cell_length_c 2.6816
_cell_angle_alpha 90.00
_cell_angle_beta 90.00
_cell_angle_gamma 90.00
loop_
_symmetry_equiv_pos_as_xyz
'x,y,z'
loop_
_atom_site_label
_atom_site_fract_x
_atom_site_fract_y
_atom_site_fract_z
Ni1 0.1611 0.6611 0.5000
Ni2 0.6611 0.8389 0.5000
Ni3 0.8389 0.3389 0.5000
Ni4 0.3389 0.1611 0.5000
Nb1 0.0000 0.0000 0.0000
Nb2 0.5000 0.5000 0.0000
Ga1 0.3638 0.8638 0.0000
Ga2 0.8638 0.6362 0.0000
Ga3 0.6362 0.1362 0.0000
Ga4 0.1362 0.3638 0.0000
```

***

*x*
Material: NbGa2Ni2
Method: DFT, PBE
State: optimized geometry

Cell and atoms, written as CIF:
```
data_NbGa2Ni2
_symmetry_space_group_name_H-M 'P 1'
_symmetry_Int_Tables_number 1
_cell_length_a 3.6499
_cell_length_b 3.6499
_cell_length_c 5.9558
_cell_angle_alpha 72.16
_cell_angle_beta 72.16
_cell_angle_gamma 90.00
loop_
_symmetry_equiv_pos_as_xyz
'x,y,z'
loop_
_atom_site_label
_atom_site_fract_x
_atom_site_fract_y
_atom_site_fract_z
Ni1 0.7500 0.2500 0.5000
Ni2 0.2500 0.7500 0.5000
Nb1 0.0000 0.0000 0.0000
Ga1 0.3884 0.3884 0.2233
Ga2 0.6116 0.6116 0.7767
```

***

Stability summary: most stable *w*, least stable *x*.

***

*w*
Material: NbGaNi3
Method: DFT, PBE
State: optimized geometry

Cell and atoms, written as CIF:
```
data_NbGaNi3
_symmetry_space_group_name_H-M 'P 1'
_symmetry_Int_Tables_number 1
_cell_length_a 4.4470
_cell_length_b 4.6893
_cell_length_c 7.0396
_cell_angle_alpha 109.45
_cell_angle_beta 90.00
_cell_angle_gamma 90.00
loop_
_symmetry_equiv_pos_as_xyz
'x,y,z'
loop_
_atom_site_label
_atom_site_fract_x
_atom_site_fract_y
_atom_site_fract_z
Nb1 0.7500 0.8046 0.6091
Nb2 0.2500 0.1954 0.3909
Ga1 0.7500 0.4283 0.8566
Ga2 0.2500 0.5717 0.1434
Ni1 0.7500 0.8853 0.2751
Ni2 0.7500 0.3899 0.2751
Ni3 0.2500 0.6101 0.7249
Ni4 0.2500 0.1147 0.7249
Ni5 0.0000 0.0000 0.0000
Ni6 0.5000 0.0000 0.0000
```

***

*x*
Material: NbGaNi3
Method: DFT, PBE
State: optimized geometry

Cell and atoms, written as CIF:
```
data_NbGaNi3
_symmetry_space_group_name_H-M 'P 1'
_symmetry_Int_Tables_number 1
_cell_length_a 4.2609
_cell_length_b 4.2609
_cell_length_c 4.2609
_cell_angle_alpha 90.00
_cell_angle_beta 90.00
_cell_angle_gamma 90.00
loop_
_symmetry_equiv_pos_as_xyz
'x,y,z'
loop_
_atom_site_label
_atom_site_fract_x
_atom_site_fract_y
_atom_site_fract_z
Ni1 0.0000 0.5000 0.0000
Ni2 0.0000 0.0000 0.5000
Ni3 0.5000 0.0000 0.0000
Nb1 0.5000 0.5000 0.5000
Ga1 0.0000 0.0000 0.0000
```

***

*y*
Material: NbGaNi3
Method: DFT, PBE
State: optimized geometry

Cell and atoms, written as CIF:
```
data_NbGaNi3
_symmetry_space_group_name_H-M 'P 1'
_symmetry_Int_Tables_number 1
_cell_length_a 4.5746
_cell_length_b 4.5746
_cell_length_c 4.5746
_cell_angle_alpha 90.00
_cell_angle_beta 90.00
_cell_angle_gamma 90.00
loop_
_symmetry_equiv_pos_as_xyz
'x,y,z'
loop_
_atom_site_label
_atom_site_fract_x
_atom_site_fract_y
_atom_site_fract_z
Ni1 0.0000 0.5000 0.0000
Ni2 0.0000 0.0000 0.5000
Ni3 0.5000 0.0000 0.0000
Nb1 0.0000 0.0000 0.0000
Ga1 0.5000 0.5000 0.5000
```

***

*z*
Material: NbGaNi3
Method: DFT, PBE
State: optimized geometry

Cell and atoms, written as CIF:
```
data_NbGaNi3
_symmetry_space_group_name_H-M 'P 1'
_symmetry_Int_Tables_number 1
_cell_length_a 4.2254
_cell_length_b 5.0681
_cell_length_c 6.3674
_cell_angle_alpha 90.00
_cell_angle_beta 90.00
_cell_angle_gamma 90.00
loop_
_symmetry_equiv_pos_as_xyz
'x,y,z'
loop_
_atom_site_label
_atom_site_fract_x
_atom_site_fract_y
_atom_site_fract_z
Nb1 0.7500 0.2500 0.1533
Nb2 0.2500 0.7500 0.8466
Ga1 0.7500 0.7500 0.4434
Ga2 0.2500 0.2500 0.5566
Ni1 0.7500 0.7500 0.0808
Ni2 0.2500 0.2500 0.9192
Ni3 0.7500 0.0168 0.7570
Ni4 0.7500 0.4832 0.7570
Ni5 0.2500 0.9832 0.2430
Ni6 0.2500 0.5168 0.2430
```

***

Stability summary: most stable *z*, least stable *y*.